Crystalline MgCu2Pt2 at its relaxed geometry. Source: the Alexandria database, functional GGA-PBE.

The structure in CIF format:
```
data_MgCu2Pt2
_cell_length_a 7.1973
_cell_length_b 7.1973
_cell_length_c 2.9636
_cell_angle_alpha 90.00
_cell_angle_beta 90.00
_cell_angle_gamma 90.00
_space_group_name_H-M_alt 'P 4/m b m'
_space_group_IT_number 127
_space_group_name_Hall '-P 4 2ab'
loop_
_atom_site_label
_atom_site_fract_x
_atom_site_fract_y
_atom_site_fract_z
Mg1 0.0000 0.0000 0.0000
Cu1 0.1582 0.3418 0.5000
Pt1 0.1397 0.6397 0.0000
```

Output
- theoretical density (Mg/m³) = 11.7
- energy relative to the elements (kcal/mol of atoms) = -6.07
- offset from the most stable computed form (meV per atom) = 47
- calculated total energy (eV/atom) = -4.637